{
  "formula": "YNi2Bi2",
  "functional": "PBE-GGA",
  "state": "relaxed",
  "vol_a3_per_fu": 105,
  "dos_at_fermi_per_ev_cell": 7.544,
  "formation_enthalpy_0k_ev_per_atom": -0.181,
  "total_magnetization_mub_per_cell": 0.00,
  "lattice_angstrom": [[7.303, 0.000, 0.000], [0.000, 7.303, 0.000], [0.000, 0.000, 3.920]],
  "species": ["Y", "Y", "Ni", "Ni", "Ni", "Ni", "Bi", "Bi", "Bi", "Bi"],
  "frac_coords": [[0.000, 0.000, 0.000], [0.500, 0.500, 0.000], [0.117, 0.383, 0.000], [0.383, 0.883, 0.000], [0.617, 0.117, 0.000], [0.883, 0.617, 0.000], [0.176, 0.676, 0.500], [0.324, 0.176, 0.500], [0.676, 0.824, 0.500], [0.824, 0.324, 0.500]]
}